(one)
Compound: Tl2ReO4
Source: Alexandria via LeMat-Bulk
Functional: GGA-PBE
Structure: relaxed

Properties
- D(E_F) (states/eV per atom) = 0.36

Unit cell a=6.754 b=10.398 c=6.194 alpha=90.00 beta=122.96 gamma=90.00
Space group Cm (No. 8)
Symmetry-distinct sites (fractional):
1 Tl 0.000 0.250 0.000
2 Re 0.499 0.000 0.500
3 O 0.008 0.500 0.220
4 O 0.287 0.500 0.783
5 O 0.351 0.141 0.499


(two)
Compound: Tl2ReO4
Source: Alexandria via LeMat-Bulk
Functional: GGA-PBE
Structure: relaxed

Properties
- D(E_F) (states/eV per atom) = 0.36

Unit cell a=3.848 b=3.848 c=16.089 alpha=90.00 beta=90.00 gamma=90.00
Space group I4/mmm (No. 139)
Symmetry-distinct sites (fractional):
1 Tl 0.000 0.000 0.162
2 Re 0.000 0.000 0.500
3 O 0.000 0.000 0.381
4 O 0.000 0.500 0.000


Least stable = (two)


(one)
Compound: TlReO2
Source: Alexandria via LeMat-Bulk
Functional: GGA-PBE
Structure: relaxed

Properties
- D(E_F) (states/eV per atom) = 0.32

Unit cell a=2.9044 b=2.9044 c=23.4603 alpha=90.00 beta=90.00 gamma=120.00
Space group R-3m (No. 166, hexagonal axes)
Symmetry-distinct sites (fractional):
1 Tl 0.0000 0.0000 0.0000
2 Re 0.0000 0.0000 0.5000
3 O 0.0000 0.0000 0.1117


(two)
Compound: TlReO2
Source: Alexandria via LeMat-Bulk
Functional: GGA-PBE
Structure: relaxed

Properties
- D(E_F) (states/eV per atom) = 0.31

Unit cell a=5.194 b=5.194 c=10.950 alpha=90.00 beta=90.00 gamma=90.00
Space group I-42d (No. 122)
Symmetry-distinct sites (fractional):
1 Tl 0.000 0.000 0.000
2 Re 0.000 0.000 0.500
3 O 0.068 0.250 0.625


(three)
Compound: TlReO2
Source: Alexandria via LeMat-Bulk
Functional: GGA-PBE
Structure: relaxed

Properties
- D(E_F) (states/eV per atom) = 0.45

Unit cell a=6.602 b=6.602 c=13.345 alpha=90.00 beta=90.00 gamma=90.00
Space group I4_1/amd (No. 141, origin choice 2)
Symmetry-distinct sites (fractional):
1 Tl 0.000 0.000 0.000
2 Re 0.000 0.000 0.500
3 O 0.000 0.074 0.237


Least stable = (three)